# Ca2AgHg (PBE-GGA, relaxed)
# final energy = -2.110 eV/atom
data_Ca2AgHg
_space_group_name_H-M_alt 'I m m 2'
_space_group_IT_number 44
_cell_length_a 3.806
_cell_length_b 5.146
_cell_length_c 11.012
_cell_angle_alpha 90.00
_cell_angle_beta 90.00
_cell_angle_gamma 90.00
loop_
_space_group_symop_operation_xyz
'x,y,z'
'-x,-y,z'
'-x,y,z'
'x,-y,z'
'x+1/2,y+1/2,z+1/2'
'-x+1/2,-y+1/2,z+1/2'
'-x+1/2,y+1/2,z+1/2'
'x+1/2,-y+1/2,z+1/2'
loop_
_atom_site_label
_atom_site_fract_x
_atom_site_fract_y
_atom_site_fract_z
Ca1 0.000 0.000 0.000
Ca2 0.000 0.500 0.211
Ag1 0.000 0.500 0.747
Hg1 0.000 0.000 0.457

# CaAg4Hg (PBE-GGA, relaxed)
# final energy = -2.458 eV/atom
data_CaAg4Hg
_space_group_name_H-M_alt 'F -4 3 m'
_space_group_IT_number 216
_space_group_name_Hall 'F -4 2 3'
_cell_length_a 7.977
_cell_length_b 7.977
_cell_length_c 7.977
_cell_angle_alpha 90.00
_cell_angle_beta 90.00
_cell_angle_gamma 90.00
loop_
_atom_site_label
_atom_site_fract_x
_atom_site_fract_y
_atom_site_fract_z
Ca1 0.000 0.000 0.000
Ag1 0.125 0.125 0.625
Hg1 0.250 0.250 0.250

# Ca6AgHg5 (PBE-GGA, relaxed)
# final energy = -1.872 eV/atom
data_Ca6AgHg5
_space_group_name_H-M_alt 'C 1 2/m 1'
_space_group_IT_number 12
_cell_length_a 16.963
_cell_length_b 7.466
_cell_length_c 5.366
_cell_angle_alpha 90.00
_cell_angle_beta 107.93
_cell_angle_gamma 90.00
loop_
_space_group_symop_operation_xyz
'x,y,z'
'-x,-y,-z'
'-x,y,-z'
'x,-y,z'
'x+1/2,y+1/2,z'
'-x+1/2,-y+1/2,-z'
'-x+1/2,y+1/2,-z'
'x+1/2,-y+1/2,z'
loop_
_atom_site_label
_atom_site_fract_x
_atom_site_fract_y
_atom_site_fract_z
Ca1 0.000 0.248 0.000
Ca2 0.166 0.249 0.666
Ag1 0.000 0.000 0.500
Hg1 0.000 0.500 0.500
Hg2 0.166 0.000 0.167
Hg3 0.167 0.500 0.167

# Ca2AgHg2 (PBE-GGA, relaxed)
# relative energy among the computed polymorphs = 0.214 eV/atom
data_Ca2AgHg2
_space_group_name_H-M_alt 'I 4/m m m'
_space_group_IT_number 139
_space_group_name_Hall '-I 4 2'
_cell_length_a 6.001
_cell_length_b 6.001
_cell_length_c 8.298
_cell_angle_alpha 90.00
_cell_angle_beta 90.00
_cell_angle_gamma 90.00
loop_
_atom_site_label
_atom_site_fract_x
_atom_site_fract_y
_atom_site_fract_z
Ca1 0.000 0.500 0.250
Ag1 0.000 0.000 0.000
Hg1 0.000 0.000 0.336